{"formula": "Tl2CoGeO6", "functional": "PBE+U", "state": "relaxed", "cell": [[2.7293, 1.5758, 4.6436], [-2.7293, 1.5758, 4.6436], [0.0000, -3.1515, 4.6436]], "species": ["Tl", "Tl", "Co", "Ge", "O", "O", "O", "O", "O", "O"], "fractional_positions": [[0.0000, 0.0000, 0.0000], [0.4982, 0.4982, 0.4982], [0.2299, 0.2299, 0.2299], [0.7246, 0.7246, 0.7246], [0.0634, 0.4717, 0.8547], [0.3775, 0.9389, 0.5912], [0.4717, 0.8547, 0.0634], [0.5912, 0.3775, 0.9389], [0.8547, 0.0634, 0.4717], [0.9389, 0.5912, 0.3775]], "n_ef_per_ev_cell": 1.92, "dft_energy_ev_per_atom": -5.420, "crystal_system": "trigonal"}